1.
The following is a PBE calculation of a relaxed structure of SrAs2P2, from Alexandria via LeMat-Bulk.

Summary:
Calculated total energy = -4.60 eV per atom
Volume = 23.8 Å³/atom
Excess energy over the best structure of this formula in the dataset = 17 meV per atom
Energy of formation from the pure elements = -239 meV per atom

```
SrAs2P2
1.0
8.2352 0.0000 0.0000
0.0000 8.2352 0.0000
0.0000 0.0000 3.5087
Sr As P
2 4 4
Direct
0.0000 0.0000 0.0000 Sr
0.5000 0.5000 0.0000 Sr
0.1391 0.3609 0.0000 As
0.3609 0.8609 0.0000 As
0.6391 0.1391 0.0000 As
0.8609 0.6391 0.0000 As
0.2255 0.7255 0.5000 P
0.2745 0.2255 0.5000 P
0.7255 0.7745 0.5000 P
0.7745 0.2745 0.5000 P
```

***

2.
The following is a PBE calculation of a relaxed structure of HfAs2IrN, from Alexandria via LeMat-Bulk.

Summary:
Calculated total energy = -7.17 eV per atom
Volume = 15.8 Å³/atom
Raw formation energy = 0.118 eV/atom

```
HfAs2IrN
1.0
4.3435 0.0000 0.0000
0.0000 4.3435 0.0000
0.0000 0.0000 4.1769
Hf As Ir N
1 2 1 1
Direct
0.0000 0.0000 0.0000 Hf
0.0000 0.5000 0.5000 As
0.5000 0.0000 0.5000 As
0.5000 0.5000 0.0000 Ir
0.0000 0.0000 0.5000 N
```